! Mn2PClO4, relaxed, DFT PBE+U; values from VASP
&SYSTEM
  ibrav = 0, nat = 32, ntyp = 4
/
ATOMIC_SPECIES
Mn 54.94 Mn.upf
P 30.97 P.upf
Cl 35.45 Cl.upf
O 16.00 O.upf
CELL_PARAMETERS angstrom
11.5366 0.0000 0.0000
0.0000 8.1801 0.0000
0.0000 0.0000 4.9921
ATOMIC_POSITIONS angstrom
Mn 1.3805 0.8505 0.0000
Mn 1.4326 5.3607 4.9747
Mn 4.3358 1.2707 2.4787
Mn 4.3878 4.9406 2.4960
Mn 7.1488 3.2396 0.0000
Mn 7.2009 6.9095 4.9747
Mn 10.1041 2.8194 2.4787
Mn 10.1561 7.3297 2.4960
P 1.8930 7.1855 2.7321
P 3.8753 3.0954 0.2361
P 7.6613 5.0847 2.7321
P 9.6437 0.9946 0.2361
Cl 0.7306 3.1071 3.7248
Cl 5.0377 7.1972 1.2287
Cl 6.4989 0.9830 3.7248
Cl 10.8060 5.0730 1.2287
O 0.5211 7.1597 3.4998
O 1.7224 7.1900 1.1947
O 2.6010 0.2990 3.2237
O 2.6464 5.9193 3.2261
O 3.1220 1.8292 0.7301
O 3.1673 4.3891 0.7277
O 4.0459 3.0999 3.6907
O 5.2473 3.0696 1.0038
O 6.2894 5.1105 3.4998
O 7.4908 5.0802 1.1947
O 8.3693 3.7910 3.2237
O 8.4147 6.3509 3.2261
O 8.8903 2.2609 0.7301
O 8.9356 7.8811 0.7277
O 9.8142 0.9901 3.6907
O 11.0156 1.0204 1.0038
! Energy = -7.23 eV per atom